First-principles (GGA-PBE) data for an optimized crystal structure of PmDyTm2Hg4, as listed in the Alexandria database.

Results
Formation energy = -0.471 eV/atom
DOS at the Fermi energy = 7.78 states/eV per cell
Space-group type = R-3m (166)

Lattice parameters (Å, degrees): 9.1382 9.1382 9.1382 33.47 33.47 33.47
With the nearest neighbours (Å) after each atom.
Fractional coordinates of all 8 atoms:
Pm1 0.0000 0.0000 0.0000  8 Hg 3.24-3.27
Dy1 0.5000 0.5000 0.5000  8 Hg 3.19-3.21
Tm1 0.2494 0.2494 0.2494  8 Hg 3.18-3.29
Tm2 0.7506 0.7506 0.7506  8 Hg 3.18-3.29
Hg1 0.1265 0.1265 0.1265  4 Tm 3.18-3.23, 3 Dy 3.21, 1 Pm 3.27
Hg2 0.3768 0.3768 0.3768  1 Dy 3.19, 4 Tm 3.21-3.29, 3 Pm 3.24
Hg3 0.6232 0.6232 0.6232  1 Dy 3.19, 4 Tm 3.21-3.29, 3 Pm 3.24
Hg4 0.8735 0.8735 0.8735  4 Tm 3.18-3.23, 3 Dy 3.21, 1 Pm 3.27